# CrO2 GGA+U optimized geometry
data_CrO2
_cell_length_a 2.8620
_cell_length_b 2.9780
_cell_length_c 5.1908
_cell_angle_alpha 75.11
_cell_angle_beta 74.20
_cell_angle_gamma 61.29
_symmetry_space_group_name_H-M 'P 1'
_symmetry_Int_Tables_number 1
_symmetry_space_group_name_Hall 'P 1'
loop_
_atom_site_label
_atom_site_type_symbol
_atom_site_fract_x
_atom_site_fract_y
_atom_site_fract_z
Cr1 Cr 0.0000 0.0000 0.0000
O1 O 0.2670 0.2742 0.1941
O2 O 0.7330 0.7258 0.8059
# Final energy: -7.24 eV per atom